(1)
DFT (PBE-GGA) results for Tb2AgSe after structural relaxation.

Offset from the most stable computed form, meV/atom: 0.0
Symmetry: Cmcm
Formation energy from raw total energies, eV/atom: -1.038
ρ, g/cm³: 8.38

a = 4.1853 Å, b = 4.0835 Å, c = 11.8822 Å
α = 99.89°, β = 90.00°, γ = 90.00°
Last column: nearest neighbours and their distance in Å.
Atoms (fractional coordinates):
1 Tb 0.7500 0.6841 0.3682  5 Se 2.87-2.93
2 Tb 0.2500 0.3159 0.6318  5 Se 2.87-2.93
3 Tb 0.7500 0.9297 0.8593  1 Se 2.88, 4 Ag 2.99
4 Tb 0.2500 0.0703 0.1407  1 Se 2.88, 4 Ag 2.99
5 Ag 0.2500 0.4573 0.9146  2 Ag 2.89, 4 Tb 2.99
6 Ag 0.7500 0.5427 0.0854  2 Ag 2.89, 4 Tb 2.99
7 Se 0.2500 0.1933 0.3867  6 Tb 2.87-2.93
8 Se 0.7500 0.8067 0.6133  6 Tb 2.87-2.93


(2)
DFT (PBE-GGA) results for Sr2CePdAu6 after structural relaxation.

Symmetry: Fm-3m
ρ, g/cm³: 8.75
Formation energy, eV per atom: -0.197

a = 7.5487 Å, b = 7.5487 Å, c = 7.5487 Å
α = 60.00°, β = 60.00°, γ = 90.00°
Last column: nearest neighbours and their distance in Å.
Atoms (fractional coordinates):
1 Sr 0.2500 0.7500 0.5000  12 Au 3.78
2 Sr 0.7500 0.2500 0.5000  12 Au 3.78
3 Ce 0.5000 0.5000 0.0000  6 Au 2.75
4 Pd 0.0000 0.0000 0.0000  6 Au 2.58-2.59
5 Au 0.2421 0.7579 0.0000  1 Pd 2.58, 1 Ce 2.75
6 Au 0.7579 0.7579 0.0000  1 Pd 2.59, 1 Ce 2.75
7 Au 0.2421 0.2421 0.5157  1 Pd 2.58, 1 Ce 2.75
8 Au 0.7579 0.2421 0.0000  1 Pd 2.58, 1 Ce 2.75
9 Au 0.2421 0.2421 0.0000  1 Pd 2.59, 1 Ce 2.75
10 Au 0.7579 0.7579 0.4843  1 Pd 2.58, 1 Ce 2.75


(3)
DFT (PBE-GGA) results for Ho2BiSb after structural relaxation.

Offset from the most stable computed form, meV/atom: 0.8
Symmetry: R-3m
Formation energy from raw total energies, eV/atom: -0.974
ρ, g/cm³: 9.03

a = 4.4111 Å, b = 4.4111 Å, c = 7.6487 Å
α = 89.96°, β = 106.79°, γ = 120.02°
Last column: nearest neighbours and their distance in Å.
Atoms (fractional coordinates):
1 Ho 0.5040 0.2521 0.7561  3 Sb 3.09-3.10, 3 Bi 3.14-3.15
2 Ho 0.4959 0.7480 0.2439  3 Sb 3.09-3.10, 3 Bi 3.15
3 Bi 0.0000 0.5000 0.5000  6 Ho 3.14-3.15
4 Sb 0.0000 0.0000 0.0000  6 Ho 3.09-3.10


(4)
DFT (PBE-GGA) results for CsVGe3 after structural relaxation.

Symmetry: Pm-3m
ρ, g/cm³: 5.53
Formation energy, eV per atom: 0.044

a = 4.9401 Å, b = 4.9401 Å, c = 4.9401 Å
α = 90.00°, β = 90.00°, γ = 90.00°
Last column: nearest neighbours and their distance in Å.
Atoms (fractional coordinates):
1 Cs 0.5000 0.5000 0.5000  12 Ge 3.49
2 Ge 0.0000 0.5000 0.0000  2 V 2.47
3 Ge 0.0000 0.0000 0.5000  2 V 2.47
4 Ge 0.5000 0.0000 0.0000  2 V 2.47
5 V 0.0000 0.0000 0.0000  6 Ge 2.47


(5)
DFT (PBE-GGA) results for PrTm2Pu3Te6 after structural relaxation.

Symmetry: C2/m
Formation energy from raw total energies, eV/atom: -1.193
ρ, g/cm³: 9.04

a = 4.3901 Å, b = 8.8348 Å, c = 9.8493 Å
α = 102.58°, β = 102.88°, γ = 90.00°
Last column: nearest neighbours and their distance in Å.
Atoms (fractional coordinates):
1 Pr 0.5000 0.0000 0.0000  6 Te 3.15-3.19
2 Tm 0.8339 0.6657 0.6679  6 Te 3.04-3.08
3 Tm 0.1661 0.3343 0.3321  6 Te 3.04-3.08
4 Pu 0.5000 0.5000 0.0000  6 Te 3.08-3.17
5 Pu 0.8368 0.1650 0.6736  6 Te 3.12-3.17
6 Pu 0.1632 0.8350 0.3264  6 Te 3.12-3.17
7 Te 0.3296 0.9067 0.6592  2 Tm 3.07, 3 Pu 3.12-3.15, 1 Pr 3.19
8 Te 0.6696 0.5793 0.3392  3 Tm 3.07-3.08, 3 Pu 3.17
9 Te 0.6704 0.0933 0.3408  2 Tm 3.07, 3 Pu 3.12-3.15, 1 Pr 3.19
10 Te 0.0039 0.2582 0.0077  1 Tm 3.04, 3 Pu 3.08-3.13, 2 Pr 3.15
11 Te 0.9961 0.7418 0.9923  1 Tm 3.04, 3 Pu 3.08-3.13, 2 Pr 3.15
12 Te 0.3304 0.4207 0.6608  3 Tm 3.07-3.08, 3 Pu 3.17


(6)
DFT (PBE-GGA) results for Ac2PmPr4Nd after structural relaxation.

Symmetry: P2/m
ρ, g/cm³: 7.12
Formation energy, eV per atom: 0.032

a = 3.7923 Å, b = 12.4530 Å, c = 6.5579 Å
α = 79.63°, β = 90.00°, γ = 90.00°
Last column: nearest neighbours and their distance in Å.
Atoms (fractional coordinates):
1 Ac 0.0000 0.0000 0.0000  6 Ac 3.79, 6 Pr 3.83-3.84
2 Ac 0.5000 0.0000 0.5000  6 Ac 3.79, 6 Pr 3.83-3.84
3 Pm 0.0000 0.5000 0.5000  6 Pr 3.69-3.70, 4 Nd 3.79, 2 Pm 3.79
4 Pr 0.0000 0.7432 0.7524  2 Nd 3.69, 1 Pm 3.70, 6 Pr 3.79, 3 Ac 3.83-3.84
5 Pr 0.0000 0.2568 0.2476  2 Nd 3.69, 1 Pm 3.70, 6 Pr 3.79, 3 Ac 3.83-3.84
6 Pr 0.5000 0.7430 0.2530  2 Pm 3.69, 1 Nd 3.70, 6 Pr 3.79, 3 Ac 3.83-3.84
7 Pr 0.5000 0.2570 0.7470  2 Pm 3.69, 1 Nd 3.70, 6 Pr 3.79, 3 Ac 3.83-3.84
8 Nd 0.5000 0.5000 0.0000  6 Pr 3.69-3.70, 4 Pm 3.79, 2 Nd 3.79


(7)
DFT (PBE-GGA) results for SrSi2Ag2 after structural relaxation.

Offset from the most stable computed form, meV/atom: 454.4
Symmetry: P4/mbm
Formation energy from raw total energies, eV/atom: 0.165
ρ, g/cm³: 5.94

a = 8.1635 Å, b = 8.1635 Å, c = 3.0159 Å
α = 90.00°, β = 90.00°, γ = 90.00°
Last column: nearest neighbours and their distance in Å.
Atoms (fractional coordinates):
1 Sr 0.0000 0.0000 0.0000  2 Sr 3.02, 4 Si 3.12
2 Sr 0.5000 0.5000 0.0000  2 Sr 3.02, 4 Si 3.12
3 Si 0.3520 0.8520 0.0000  6 Ag 2.81-2.86, 2 Si 3.02, 2 Sr 3.12
4 Si 0.8520 0.6480 0.0000  6 Ag 2.81-2.86, 2 Si 3.02, 2 Sr 3.12
5 Si 0.6480 0.1480 0.0000  6 Ag 2.81-2.86, 2 Si 3.02, 2 Sr 3.12
6 Si 0.1480 0.3520 0.0000  6 Ag 2.81-2.86, 2 Si 3.02, 2 Sr 3.12
7 Ag 0.1418 0.6418 0.5000  6 Si 2.81-2.86, 2 Ag 3.02
8 Ag 0.6418 0.8582 0.5000  6 Si 2.81-2.86, 2 Ag 3.02
9 Ag 0.8582 0.3582 0.5000  6 Si 2.81-2.86, 2 Ag 3.02
10 Ag 0.3582 0.1418 0.5000  6 Si 2.81-2.86, 2 Ag 3.02


(8)
DFT (PBE-GGA) results for Gd2AlBr after structural relaxation.

Offset from the most stable computed form, meV/atom: 45.0
Symmetry: R-3m
Formation energy from raw total energies, eV/atom: -0.670
ρ, g/cm³: 6.57

a = 3.7714 Å, b = 3.7714 Å, c = 8.9196 Å
α = 77.79°, β = 77.79°, γ = 60.00°
Last column: nearest neighbours and their distance in Å.
Atoms (fractional coordinates):
1 Gd 0.2537 0.2537 0.2390  3 Al 3.00, 3 Br 3.14
2 Gd 0.7463 0.7463 0.7610  3 Al 3.00, 3 Br 3.14
3 Al 0.0000 0.0000 0.0000  6 Gd 3.00
4 Br 0.5000 0.5000 0.5000  6 Gd 3.14


(9)
DFT (PBE-GGA) results for BaBeAs4 after structural relaxation.

Symmetry: F-43m
ρ, g/cm³: 5.21
Formation energy, eV per atom: 0.169

a = 5.8567 Å, b = 5.8567 Å, c = 5.8567 Å
α = 60.00°, β = 60.00°, γ = 60.00°
Last column: nearest neighbours and their distance in Å.
Atoms (fractional coordinates):
1 Ba 0.7500 0.7500 0.7500  12 As 3.46, 4 Be 3.59
2 Be 0.0000 0.0000 0.0000  12 As 3.41, 4 Ba 3.59
3 As 0.9081 0.3640 0.3640  3 As 2.67
4 As 0.3640 0.3640 0.9081  3 As 2.67
5 As 0.3640 0.9081 0.3640  3 As 2.67
6 As 0.3640 0.3640 0.3640  3 As 2.67


(10)
DFT (PBE-GGA) results for Ca2YMgTe4 after structural relaxation.

Symmetry: P2/m
Formation energy from raw total energies, eV/atom: -1.329
ρ, g/cm³: 4.81

a = 4.3753 Å, b = 7.7288 Å, c = 7.6182 Å
α = 109.41°, β = 90.00°, γ = 90.00°
Last column: nearest neighbours and their distance in Å.
Atoms (fractional coordinates):
1 Ca 0.5000 0.0000 0.5000  6 Te 3.21
2 Ca 0.0000 0.5000 0.5000  6 Te 3.14-3.17
3 Y 0.0000 0.0000 0.0000  6 Te 3.09-3.10
4 Mg 0.5000 0.5000 0.0000  6 Te 3.03-3.05
5 Te 0.5000 0.2525 0.2402  1 Mg 3.05, 2 Y 3.09, 3 Ca 3.14-3.21
6 Te 0.5000 0.7475 0.7598  1 Mg 3.05, 2 Y 3.09, 3 Ca 3.14-3.21
7 Te 0.0000 0.2615 0.7672  2 Mg 3.03, 1 Y 3.10, 3 Ca 3.17-3.21
8 Te 0.0000 0.7385 0.2328  2 Mg 3.03, 1 Y 3.10, 3 Ca 3.17-3.21


(11)
DFT (PBE-GGA) results for Pm5Nd4Ho2 after structural relaxation.

Offset from the most stable computed form, meV/atom: 101.3
Symmetry: Immm
ρ, g/cm³: 7.02
Formation energy, eV per atom: 0.197

a = 3.5766 Å, b = 11.6295 Å, c = 11.0939 Å
α = 121.61°, β = 99.28°, γ = 90.00°
Last column: nearest neighbours and their distance in Å.
Atoms (fractional coordinates):
1 Pm 0.1794 0.4708 0.3589  4 Pm 3.31-3.58, 3 Nd 3.35-3.44, 1 Ho 3.42
2 Pm 0.8206 0.5292 0.6411  4 Pm 3.31-3.58, 3 Nd 3.35-3.44, 1 Ho 3.42
3 Pm 0.1794 0.8881 0.3589  4 Pm 3.31-3.58, 3 Nd 3.35-3.44, 1 Ho 3.42
4 Pm 0.5000 0.0000 0.0000  4 Nd 3.52, 2 Pm 3.58
5 Pm 0.8206 0.1119 0.6411  4 Pm 3.31-3.58, 3 Nd 3.35-3.44, 1 Ho 3.42
6 Nd 0.5898 0.5898 0.1796  7 Nd 3.33-3.71, 4 Pm 3.44
7 Nd 0.0000 0.2604 0.0000  4 Pm 3.35-3.52, 6 Nd 3.58-3.71
8 Nd 0.4102 0.4102 0.8204  7 Nd 3.33-3.71, 4 Pm 3.44
9 Nd 0.0000 0.7396 0.0000  4 Pm 3.35-3.52, 6 Nd 3.58-3.71
10 Ho 0.7963 0.7963 0.5926  6 Pm 3.42-3.71, 2 Ho 3.58
11 Ho 0.2037 0.2037 0.4074  6 Pm 3.42-3.71, 2 Ho 3.58


(12)
DFT (PBE-GGA) results for ErNpPaO6 after structural relaxation.

Symmetry: P-31c
Formation energy from raw total energies, eV/atom: -3.306
ρ, g/cm³: 9.00

a = 5.7282 Å, b = 5.7282 Å, c = 9.5005 Å
α = 90.00°, β = 90.00°, γ = 120.00°
Last column: nearest neighbours and their distance in Å.
Atoms (fractional coordinates):
1 Er 0.3333 0.6667 0.2500  6 O 2.27
2 Er 0.6667 0.3333 0.7500  6 O 2.27
3 Np 0.6667 0.3333 0.2500  6 O 2.23
4 Np 0.3333 0.6667 0.7500  6 O 2.23
5 Pa 0.0000 0.0000 0.0000  6 O 2.23
6 Pa 0.0000 0.0000 0.5000  6 O 2.23
7 O 0.6778 0.6730 0.1287  1 Pa 2.23, 1 Np 2.23, 1 Er 2.27
8 O 0.9952 0.3222 0.1287  1 Pa 2.23, 1 Np 2.23, 1 Er 2.27
9 O 0.3222 0.9952 0.6287  1 Pa 2.23, 1 Np 2.23, 1 Er 2.27
10 O 0.0048 0.6778 0.8713  1 Pa 2.23, 1 Np 2.23, 1 Er 2.27
11 O 0.3270 0.3222 0.3713  1 Pa 2.23, 1 Np 2.23, 1 Er 2.27
12 O 0.9952 0.6730 0.3713  1 Pa 2.23, 1 Np 2.23, 1 Er 2.27
13 O 0.6730 0.9952 0.8713  1 Pa 2.23, 1 Np 2.23, 1 Er 2.27
14 O 0.6778 0.0048 0.3713  1 Pa 2.23, 1 Np 2.23, 1 Er 2.27
15 O 0.0048 0.3270 0.6287  1 Pa 2.23, 1 Np 2.23, 1 Er 2.27
16 O 0.3270 0.0048 0.1287  1 Pa 2.23, 1 Np 2.23, 1 Er 2.27
17 O 0.6730 0.6778 0.6287  1 Pa 2.23, 1 Np 2.23, 1 Er 2.27
18 O 0.3222 0.3270 0.8713  1 Pa 2.23, 1 Np 2.23, 1 Er 2.27